Record 1
Here is a relaxed structure of AuSe2I from Alexandria. Energies are from PBE-GGA.

Unit cell a=4.8602 b=8.2503 c=8.2503 alpha=112.82 beta=90.00 gamma=90.00
Element x y z (fractional)
1 Au 0.0000 0.2903 0.2903
2 Au 0.5000 0.7097 0.7097
3 Se 0.8029 0.7809 0.9788
4 I 0.2500 0.6198 0.3802
5 Se 0.3029 0.2191 0.0212
6 I 0.7500 0.3802 0.6198
7 Se 0.6971 0.0212 0.2191
8 Se 0.1971 0.9788 0.7809

Properties
Size of the total moment (μB per atom): 0.00
E_form (uncorrected) (eV per atom): -0.018


Record 2
Here is a relaxed structure of TaAuSe2I from Alexandria. Energies are from PBE-GGA.

Unit cell a=4.9205 b=5.8222 c=4.9205 alpha=90.00 beta=90.00 gamma=90.00
Element x y z (fractional)
1 I 0.0000 0.5000 0.0000
2 Ta 0.0000 0.0000 0.0000
3 Se 0.0000 0.0000 0.5000
4 Se 0.5000 0.0000 0.0000
5 Au 0.5000 0.5000 0.5000

Properties
Size of the total moment (μB per atom): 0.00
E_form (uncorrected) (eV per atom): 0.199


Record 3
Here is a relaxed structure of Te2AuSeI from Alexandria. Energies are from PBE-GGA.

Unit cell a=5.5076 b=5.3977 c=5.5076 alpha=90.00 beta=90.00 gamma=90.00
Element x y z (fractional)
1 I 0.0000 0.5000 0.0000
2 Te 0.5000 0.0000 0.0000
3 Te 0.0000 0.0000 0.5000
4 Au 0.0000 0.0000 0.0000
5 Se 0.5000 0.5000 0.5000

Properties
Size of the total moment (μB per atom): 0.00
E_form (uncorrected) (eV per atom): 0.643


Per-record final energy, eV/atom: -2.967; -4.531; -2.276